# Pm8Nd6Pb GGA-PBE relaxed
# Space-group type: No. 147
# Energy relative to the elements: 0.048 eV/atom
data_Pm8Nd6Pb
_space_group_name_H-M_alt 'P 1'
_space_group_IT_number 1
_space_group_name_Hall 'P 1'
_cell_length_a 6.7081
_cell_length_b 9.4683
_cell_length_c 9.4683
_cell_angle_alpha 120.00
_cell_angle_beta 90.00
_cell_angle_gamma 90.00
loop_
_atom_site_label
_atom_site_fract_x
_atom_site_fract_y
_atom_site_fract_z
Nd1 0.3321 0.5565 0.6473
Nd2 0.3321 0.3527 0.9092
Nd3 0.3321 0.0908 0.4435
Nd4 0.6679 0.9092 0.5565
Nd5 0.6679 0.4435 0.3527
Nd6 0.6679 0.6473 0.0908
Pm1 0.1778 0.7708 0.0386
Pm2 0.8222 0.7322 0.7708
Pm3 0.8222 0.2292 0.9614
Pm4 0.1778 0.9614 0.7322
Pm5 0.1778 0.2678 0.2292
Pm6 0.1293 0.6667 0.3333
Pm7 0.8707 0.3333 0.6667
Pm8 0.8222 0.0386 0.2678
Pb1 0.5000 0.0000 0.0000

=====

# Ti2GaHg GGA-PBE relaxed
# Space-group type: No. 122
# Energy relative to the elements: 0.140 eV/atom
data_Ti2GaHg
_space_group_name_H-M_alt 'P 1'
_space_group_IT_number 1
_space_group_name_Hall 'P 1'
_cell_length_a 7.3575
_cell_length_b 7.3575
_cell_length_c 5.9053
_cell_angle_alpha 51.47
_cell_angle_beta 51.47
_cell_angle_gamma 90.00
loop_
_atom_site_label
_atom_site_fract_x
_atom_site_fract_y
_atom_site_fract_z
Ti1 0.6141 0.1250 0.2500
Ti2 0.8750 0.8641 0.7500
Ti3 0.1359 0.6250 0.2500
Ti4 0.3750 0.3859 0.7500
Ga1 0.2500 0.7500 0.5000
Ga2 0.5000 0.5000 0.0000
Hg1 0.7500 0.2500 0.5000
Hg2 0.0000 0.0000 0.0000

=====

# LiTb2Be3Cu12 GGA-PBE relaxed
# Space-group type: No. 166
# Energy relative to the elements: 0.148 eV/atom
data_LiTb2Be3Cu12
_space_group_name_H-M_alt 'P 1'
_space_group_IT_number 1
_space_group_name_Hall 'P 1'
_cell_length_a 6.3410
_cell_length_b 6.3410
_cell_length_c 6.3410
_cell_angle_alpha 84.97
_cell_angle_beta 84.97
_cell_angle_gamma 84.97
loop_
_atom_site_label
_atom_site_fract_x
_atom_site_fract_y
_atom_site_fract_z
Cu1 0.8112 0.2843 0.8112
Cu2 0.1888 0.1888 0.7157
Cu3 0.8679 0.4078 0.4078
Cu4 0.8112 0.8112 0.2843
Cu5 0.5922 0.1321 0.5922
Cu6 0.1321 0.5922 0.5922
Cu7 0.7157 0.1888 0.1888
Cu8 0.1888 0.7157 0.1888
Cu9 0.4078 0.8679 0.4078
Cu10 0.2843 0.8112 0.8112
Cu11 0.5922 0.5922 0.1321
Cu12 0.4078 0.4078 0.8679
Li1 0.0000 0.0000 0.0000
Be1 0.0000 0.0000 0.5000
Be2 0.0000 0.5000 0.0000
Be3 0.5000 0.0000 0.0000
Tb1 0.7104 0.7104 0.7104
Tb2 0.2896 0.2896 0.2896

=====

# GeTe2Se2 GGA-PBE relaxed
# Space-group type: No. 127
# E_form (uncorrected): 0.259 eV per atom
data_GeTe2Se2
_space_group_name_H-M_alt 'P 1'
_space_group_IT_number 1
_space_group_name_Hall 'P 1'
_cell_length_a 7.7354
_cell_length_b 7.7354
_cell_length_c 4.3155
_cell_angle_alpha 90.00
_cell_angle_beta 90.00
_cell_angle_gamma 90.00
loop_
_atom_site_label
_atom_site_fract_x
_atom_site_fract_y
_atom_site_fract_z
Te1 0.8485 0.3485 0.5000
Te2 0.1515 0.6515 0.5000
Te3 0.6515 0.8485 0.5000
Te4 0.3485 0.1515 0.5000
Ge1 0.5000 0.5000 0.0000
Ge2 0.0000 0.0000 0.0000
Se1 0.8263 0.6737 0.0000
Se2 0.6737 0.1737 0.0000
Se3 0.1737 0.3263 0.0000
Se4 0.3263 0.8263 0.0000

=====

# Y3Er12Tl GGA-PBE relaxed
# Space-group type: No. 123
# Energy relative to the elements: -0.020 eV/atom
data_Y3Er12Tl
_space_group_name_H-M_alt 'P 1'
_space_group_IT_number 1
_space_group_name_Hall 'P 1'
_cell_length_a 4.9197
_cell_length_b 4.9196
_cell_length_c 19.9995
_cell_angle_alpha 90.00
_cell_angle_beta 90.00
_cell_angle_gamma 90.00
loop_
_atom_site_label
_atom_site_fract_x
_atom_site_fract_y
_atom_site_fract_z
Er1 0.5000 0.5000 0.7557
Er2 0.0000 0.5000 0.1215
Er3 0.5000 0.0000 0.8785
Er4 0.5000 0.0000 0.1215
Er5 0.5000 0.5000 0.5000
Er6 0.5000 0.0000 0.6264
Er7 0.5000 0.5000 0.2443
Er8 0.0000 0.5000 0.8785
Er9 0.5000 0.0000 0.3736
Er10 0.0000 0.5000 0.6264
Er11 0.5000 0.5000 0.0000
Er12 0.0000 0.5000 0.3736
Tl1 0.0000 0.0000 0.0000
Y1 0.0000 0.0000 0.2485
Y2 0.0000 0.0000 0.7515
Y3 0.0000 0.0000 0.5000

=====

# NbV2SiBr GGA-PBE relaxed
# Space-group type: No. 123
# E_form (uncorrected): 1.317 eV per atom
data_NbV2SiBr
_space_group_name_H-M_alt 'P 1'
_space_group_IT_number 1
_space_group_name_Hall 'P 1'
_cell_length_a 4.3824
_cell_length_b 4.9622
_cell_length_c 4.3824
_cell_angle_alpha 90.00
_cell_angle_beta 90.00
_cell_angle_gamma 90.00
loop_
_atom_site_label
_atom_site_fract_x
_atom_site_fract_y
_atom_site_fract_z
Si1 0.0000 0.5000 0.0000
Br1 0.0000 0.0000 0.0000
V1 0.5000 0.0000 0.0000
V2 0.0000 0.0000 0.5000
Nb1 0.5000 0.5000 0.5000